1.
Density functional theory data (PBE) for an optimized crystal structure of Si2HgRh.

Output
ΔE_f (raw) in eV per formula unit: -0.41

POSCAR file:
```
Si2HgRh
1.0
-2.086 3.223 -1.368
-3.277 1.455 1.938
3.269 3.241 2.910
Hg Rh Si
1 1 2
Cartesian
-0.798 3.704 1.693
1.407 4.842 3.096
0.296 0.564 0.409
-0.776 6.009 2.933
```

---

2.
Density functional theory data (PBE) for an optimized crystal structure of AlCuHg2F.

Output
ΔE_f (raw) in eV per formula unit: -0.60

POSCAR file:
```
AlCuHg2F
1.0
-4.864 2.416 0.229
-1.619 -3.171 -0.938
-0.419 -1.340 5.252
F Hg Cu Al
1 2 1 1
Cartesian
0.000 0.000 0.000
-0.210 -0.670 2.626
-2.432 1.208 0.114
-0.810 -1.585 -0.469
-3.451 -1.047 2.271
```

---

3.
Density functional theory data (PBE) for an optimized crystal structure of PrPuNpO6.

Output
ΔE_f (raw) in eV per formula unit: -26.85

POSCAR file:
```
PrPuNpO6
1.0
-4.356 -2.990 2.670
5.366 0.262 2.487
-2.476 7.656 4.534
Pr Pu Np O
2 2 2 12
Cartesian
1.506 1.093 3.681
-2.972 3.837 6.009
0.000 0.000 0.000
-1.238 3.828 2.267
-1.735 0.009 3.742
0.268 4.921 5.948
0.173 -0.888 4.019
-2.819 -1.809 3.941
2.234 4.123 6.089
1.353 6.738 5.749
-0.761 1.869 3.411
-1.642 0.132 5.862
0.192 4.988 8.071
-3.700 0.806 3.601
0.176 4.797 3.828
-1.658 -0.059 1.619
-0.705 3.060 6.280
-1.639 5.818 5.671
```

---

4.
Density functional theory data (PBE) for an optimized crystal structure of K2TcPt.

Output
Energy of formation in eV/atom: 0.92
Relative energy among the computed polymorphs in meV/atom: 493.1

POSCAR file:
```
K2TcPt
1.0
-3.456 -1.275 4.996
5.449 -2.578 -1.481
1.321 1.978 1.418
K Pt Tc
2 1 1
Cartesian
0.000 0.000 0.000
0.997 -1.927 1.758
-1.068 0.351 3.207
3.385 -0.300 -0.031
```

---

The evaluated electronic total energy for the records listed, in turn: -18.91, -10.91, -177.31, -14.92 eV/cell.